Crystalline La2GdSn4Pb3 at its relaxed geometry, computed with PBE.

a = 13.394 Å, b = 13.394 Å, c = 4.786 Å
α = 90.00°, β = 90.00°, γ = 160.27°
Fractional coordinates of all 10 atoms:
Sn  0.712  0.288  0.500
Sn  0.407  0.593  0.000
Sn  0.288  0.712  0.500
La  0.814  0.186  0.000
Gd  0.000  0.000  0.000
Pb  0.904  0.096  0.500
Pb  0.096  0.904  0.500
La  0.186  0.814  0.000
Sn  0.593  0.407  0.000
Pb  0.500  0.500  0.500

Computed properties:
SG	Cmmm, No. 65
size of the total moment	0.010	μB per formula unit
electronic total energy	-4.707	eV per atom

Crystalline K2Pa3F at its relaxed geometry, computed with PBE.

a = 5.558 Å, b = 5.558 Å, c = 8.213 Å
α = 90.00°, β = 90.00°, γ = 120.00°
Last column: magnetic moment on the atom in μB.
Fractional coordinates of all 6 atoms:
Pa  0.500  0.000  0.000  0.94
F  0.000  0.000  0.500  0.01
K  0.667  0.333  0.550  0.00
K  0.333  0.667  0.450  0.00
Pa  0.500  0.500  0.000  0.92
Pa  0.000  0.500  0.000  0.97

Computed properties:
SG	P-3m1, No. 164
size of the total moment	4.089	μB per formula unit
electronic total energy	-4.882	eV per atom

Crystalline MgZnSO at its relaxed geometry, computed with PBE.

a = 6.592 Å, b = 6.592 Å, c = 5.477 Å
α = 90.00°, β = 90.00°, γ = 30.55°
Fractional coordinates of all 8 atoms:
S  0.326  0.326  0.510
O  0.922  0.922  0.024
Mg  0.340  0.340  0.970
O  0.078  0.078  0.524
Zn  0.064  0.064  0.889
Zn  0.936  0.936  0.389
S  0.674  0.674  0.010
Mg  0.660  0.660  0.470

Computed properties:
SG	Cmc2_1, No. 36
electronic total energy	-4.490	eV per atom

Crystalline HoPuAl at its relaxed geometry, computed with PBE.

a = 4.937 Å, b = 4.937 Å, c = 4.937 Å
α = 60.00°, β = 60.00°, γ = 60.00°
Last column: magnetic moment on the atom in μB.
Fractional coordinates of all 3 atoms:
Ho  0.250  0.250  0.250  0.44
Al  0.500  0.500  0.500  -0.06
Pu  0.000  0.000  0.000  5.58

Computed properties:
SG	F-43m, No. 216
size of the total moment	6.055	μB per formula unit
electronic total energy	-7.052	eV per atom

Crystalline Sr3Au2 at its relaxed geometry, computed with PBE.

a = 8.503 Å, b = 8.503 Å, c = 4.470 Å
α = 90.00°, β = 90.00°, γ = 90.00°
Fractional coordinates of all 10 atoms:
Au  0.636  0.136  0.000
Sr  0.342  0.158  0.500
Sr  0.158  0.658  0.500
Au  0.864  0.636  0.000
Sr  0.000  0.000  0.000
Sr  0.658  0.842  0.500
Sr  0.500  0.500  0.000
Au  0.364  0.864  0.000
Sr  0.842  0.342  0.500
Au  0.136  0.364  0.000

Computed properties:
SG	P4/mbm, No. 127
electronic total energy	-2.975	eV per atom

Crystalline La2YMg3Tl2Cd at its relaxed geometry, computed with PBE.

a = 4.763 Å, b = 7.705 Å, c = 7.705 Å
α = 119.16°, β = 90.00°, γ = 90.00°
Fractional coordinates of all 9 atoms:
Tl  0.500  0.659  0.336
Y  0.000  0.420  0.420
Mg  0.500  0.762  0.762
La  0.000  0.575  0.998
Tl  0.500  0.336  0.659
La  0.000  0.998  0.575
Cd  0.000  0.009  0.009
Mg  0.500  0.002  0.239
Mg  0.500  0.239  0.002

Computed properties:
SG	Amm2, No. 38
size of the total moment	0.012	μB per formula unit
electronic total energy	-3.310	eV per atom